Dy2Au: relaxed, PBE-GGA.

V: 312.0 Å³/cell
Formation enthalpy at 0 K: -637 meV/atom

abc: 7.068 4.942 8.933
angles: 90.00 90.00 90.00
Positions (direct):
Dy (0.013, 0.250, 0.177)
Dy (0.150, 0.250, 0.581)
Dy (0.350, 0.750, 0.081)
Dy (0.487, 0.750, 0.677)
Dy (0.513, 0.250, 0.323)
Dy (0.650, 0.250, 0.919)
Dy (0.850, 0.750, 0.419)
Dy (0.987, 0.750, 0.823)
Au (0.241, 0.250, 0.902)
Au (0.259, 0.750, 0.402)
Au (0.741, 0.250, 0.598)
Au (0.759, 0.750, 0.098)